(1)
The following is a DFT calculation (PBE) of CaTlSeClO after structural relaxation.

```
data_CaTlSeClO
_symmetry_space_group_name_H-M 'P 1'
_symmetry_Int_Tables_number 1
_symmetry_space_group_name_Hall 'P 1'
_cell_length_a 4.2986
_cell_length_b 4.5142
_cell_length_c 8.3556
_cell_angle_alpha 93.43
_cell_angle_beta 101.92
_cell_angle_gamma 117.60
loop_
_atom_site_label
_atom_site_type_symbol
_atom_site_fract_x
_atom_site_fract_y
_atom_site_fract_z
Ca1 Ca 0.0000 0.0000 0.0000
Tl1 Tl 0.9857 0.4502 0.4518
Se1 Se 0.4680 0.7670 0.2096
Cl1 Cl 0.5744 0.2815 0.8349
O1 O 0.4088 0.3348 0.2329
```

N(E_F): 0.000 states/eV per atom
energy relative to the elements, uncorrected: -1354 meV per atom
E above lowest polymorph: 94 meV/atom



(2)
The following is a DFT calculation (PBE) of TbNdSiIr after structural relaxation.

```
data_TbNdSiIr
_symmetry_space_group_name_H-M 'A m m 2'
_symmetry_Int_Tables_number 38
_symmetry_space_group_name_Hall 'A 2 -2'
_cell_length_a 4.0186
_cell_length_b 4.2572
_cell_length_c 10.8418
_cell_angle_alpha 90.00
_cell_angle_beta 90.00
_cell_angle_gamma 90.00
loop_
_atom_site_label
_atom_site_type_symbol
_atom_site_fract_x
_atom_site_fract_y
_atom_site_fract_z
Tb1 Tb 0.0000 0.0000 0.0000
Nd1 Nd 0.5000 0.0000 0.7176
Si1 Si 0.0000 0.0000 0.3019
Ir1 Ir 0.5000 0.0000 0.4384
```

N(E_F): 0.620 states/eV per atom
energy relative to the elements, uncorrected: -797 meV per atom



(3)
The following is a DFT calculation (PBE) of Nd2Ag6Hg after structural relaxation.

```
data_Nd2Ag6Hg
_symmetry_space_group_name_H-M 'P -3 m 1'
_symmetry_Int_Tables_number 164
_symmetry_space_group_name_Hall '-P 3 2"'
_cell_length_a 6.2574
_cell_length_b 6.2574
_cell_length_c 5.9990
_cell_angle_alpha 90.00
_cell_angle_beta 90.00
_cell_angle_gamma 120.00
loop_
_atom_site_label
_atom_site_type_symbol
_atom_site_fract_x
_atom_site_fract_y
_atom_site_fract_z
Nd1 Nd 0.3333 0.6667 0.3417
Ag1 Ag 0.1834 0.3668 0.8335
Hg1 Hg 0.0000 0.0000 0.5000
```

N(E_F): 0.597 states/eV per atom



(4)
The following is a DFT calculation (PBE) of YGa2Sn2 after structural relaxation.

```
data_YGa2Sn2
_symmetry_space_group_name_H-M 'P 4/m b m'
_symmetry_Int_Tables_number 127
_symmetry_space_group_name_Hall '-P 4 2ab'
_cell_length_a 7.7320
_cell_length_b 7.7320
_cell_length_c 3.9016
_cell_angle_alpha 90.00
_cell_angle_beta 90.00
_cell_angle_gamma 90.00
loop_
_atom_site_label
_atom_site_type_symbol
_atom_site_fract_x
_atom_site_fract_y
_atom_site_fract_z
Y1 Y 0.0000 0.0000 0.0000
Ga1 Ga 0.1226 0.3774 0.0000
Sn1 Sn 0.1691 0.6691 0.5000
```

N(E_F): 0.333 states/eV per atom
E above lowest polymorph: 54 meV/atom



(5)
The following is a DFT calculation (PBE) of CuSbPt4 after structural relaxation.

```
data_CuSbPt4
_symmetry_space_group_name_H-M 'F -4 3 m'
_symmetry_Int_Tables_number 216
_symmetry_space_group_name_Hall 'F -4 2 3'
_cell_length_a 7.5318
_cell_length_b 7.5318
_cell_length_c 7.5318
_cell_angle_alpha 90.00
_cell_angle_beta 90.00
_cell_angle_gamma 90.00
loop_
_atom_site_label
_atom_site_type_symbol
_atom_site_fract_x
_atom_site_fract_y
_atom_site_fract_z
Cu1 Cu 0.0000 0.0000 0.0000
Sb1 Sb 0.2500 0.2500 0.2500
Pt1 Pt 0.1254 0.1254 0.6254
```

N(E_F): 1.311 states/eV per atom
energy relative to the elements, uncorrected: 71 meV per atom
E above lowest polymorph: 240 meV/atom



(6)
The following is a DFT calculation (PBE) of Rb3Mg5Br12 after structural relaxation.

```
data_Rb3Mg5Br12
_symmetry_space_group_name_H-M 'I a -3 d'
_symmetry_Int_Tables_number 230
_symmetry_space_group_name_Hall '-I 4bd 2c 3'
_cell_length_a 17.7233
_cell_length_b 17.7233
_cell_length_c 17.7233
_cell_angle_alpha 90.00
_cell_angle_beta 90.00
_cell_angle_gamma 90.00
loop_
_atom_site_label
_atom_site_type_symbol
_atom_site_fract_x
_atom_site_fract_y
_atom_site_fract_z
Rb1 Rb 0.0000 0.2500 0.1250
Mg1 Mg 0.0000 0.0000 0.0000
Mg2 Mg 0.0000 0.2500 0.3750
Br1 Br 0.0360 0.0487 0.6457
```

N(E_F): 0.074 states/eV per atom
energy relative to the elements, uncorrected: -1449 meV per atom



(7)
The following is a DFT calculation (PBE) of KPmOsO6 after structural relaxation.

```
data_KPmOsO6
_symmetry_space_group_name_H-M 'P 3 1 2'
_symmetry_Int_Tables_number 149
_symmetry_space_group_name_Hall 'P 3 2'
_cell_length_a 5.7421
_cell_length_b 5.7421
_cell_length_c 5.7175
_cell_angle_alpha 90.00
_cell_angle_beta 90.00
_cell_angle_gamma 120.00
loop_
_atom_site_label
_atom_site_type_symbol
_atom_site_fract_x
_atom_site_fract_y
_atom_site_fract_z
K1 K 0.0000 0.0000 0.0000
Pm1 Pm 0.3333 0.6667 0.5000
Os1 Os 0.6667 0.3333 0.5000
O1 O 0.4083 0.0572 0.6891
```

energy relative to the elements, uncorrected: -1744 meV per atom



(8)
The following is a DFT calculation (PBE) of SbTe2BrN after structural relaxation.

```
data_SbTe2BrN
_symmetry_space_group_name_H-M 'P 4/m m m'
_symmetry_Int_Tables_number 123
_symmetry_space_group_name_Hall '-P 4 2'
_cell_length_a 5.8579
_cell_length_b 5.8579
_cell_length_c 3.7632
_cell_angle_alpha 90.00
_cell_angle_beta 90.00
_cell_angle_gamma 90.00
loop_
_atom_site_label
_atom_site_type_symbol
_atom_site_fract_x
_atom_site_fract_y
_atom_site_fract_z
Sb1 Sb 0.0000 0.0000 0.0000
Te1 Te 0.0000 0.5000 0.5000
Br1 Br 0.5000 0.5000 0.5000
N1 N 0.5000 0.5000 0.0000
```

N(E_F): 0.721 states/eV per atom
energy relative to the elements, uncorrected: 1293 meV per atom
E above lowest polymorph: 561 meV/atom



(9)
The following is a DFT calculation (PBE) of Li2Mg6Pb after structural relaxation.

```
data_Li2Mg6Pb
_symmetry_space_group_name_H-M 'C 1 2/m 1'
_symmetry_Int_Tables_number 12
_symmetry_space_group_name_Hall '-C 2y'
_cell_length_a 9.3793
_cell_length_b 4.6866
_cell_length_c 9.3357
_cell_angle_alpha 90.00
_cell_angle_beta 100.11
_cell_angle_gamma 90.00
loop_
_atom_site_label
_atom_site_type_symbol
_atom_site_fract_x
_atom_site_fract_y
_atom_site_fract_z
Li1 Li 0.1588 0.0000 0.2206
Mg1 Mg 0.0039 0.5000 0.6659
Mg2 Mg 0.1654 0.0000 0.5475
Mg3 Mg 0.1711 0.0000 0.8781
Pb1 Pb 0.0000 0.5000 0.0000
```

N(E_F): 0.251 states/eV per atom



(10)
The following is a DFT calculation (PBE) of ZnCr2Au after structural relaxation.

```
data_ZnCr2Au
_symmetry_space_group_name_H-M 'P m m 2'
_symmetry_Int_Tables_number 25
_symmetry_space_group_name_Hall 'P 2 -2'
_cell_length_a 3.1262
_cell_length_b 3.1621
_cell_length_c 5.9103
_cell_angle_alpha 90.00
_cell_angle_beta 90.00
_cell_angle_gamma 90.00
loop_
_atom_site_label
_atom_site_type_symbol
_atom_site_fract_x
_atom_site_fract_y
_atom_site_fract_z
Zn1 Zn 0.0000 0.0000 0.0000
Cr1 Cr 0.0000 0.0000 0.5505
Cr2 Cr 0.5000 0.5000 0.7381
Au1 Au 0.5000 0.5000 0.2529
```

N(E_F): 0.660 states/eV per atom



(11)
The following is a DFT calculation (PBE) of Pr6Pd3Au after structural relaxation.

```
data_Pr6Pd3Au
_symmetry_space_group_name_H-M 'C m c 21'
_symmetry_Int_Tables_number 36
_symmetry_space_group_name_Hall 'C 2c -2'
_cell_length_a 11.2112
_cell_length_b 14.6528
_cell_length_c 7.4298
_cell_angle_alpha 90.00
_cell_angle_beta 90.00
_cell_angle_gamma 90.00
loop_
_atom_site_label
_atom_site_type_symbol
_atom_site_fract_x
_atom_site_fract_y
_atom_site_fract_z
Pr1 Pr 0.0000 0.0057 0.0000
Pr2 Pr 0.0000 0.2391 0.3693
Pr3 Pr 0.1744 0.4673 0.3941
Pr4 Pr 0.1745 0.2774 0.9506
Pd1 Pd 0.0000 0.4085 0.1098
Pd2 Pd 0.1795 0.1094 0.2111
Au1 Au 0.0000 0.1641 0.7414
```

N(E_F): 1.050 states/eV per atom



(12)
The following is a DFT calculation (PBE) of Er3Al3Ga2Co after structural relaxation.

```
data_Er3Al3Ga2Co
_symmetry_space_group_name_H-M 'P -6 2 m'
_symmetry_Int_Tables_number 189
_symmetry_space_group_name_Hall 'P -6 -2'
_cell_length_a 6.8576
_cell_length_b 6.8576
_cell_length_c 4.2379
_cell_angle_alpha 90.00
_cell_angle_beta 90.00
_cell_angle_gamma 120.00
loop_
_atom_site_label
_atom_site_type_symbol
_atom_site_fract_x
_atom_site_fract_y
_atom_site_fract_z
Er1 Er 0.0000 0.4054 0.0000
Al1 Al 0.0000 0.7717 0.5000
Ga1 Ga 0.3333 0.6667 0.5000
Co1 Co 0.0000 0.0000 0.0000
```

N(E_F): 0.318 states/eV per atom



Number 1: total DFT energy (no corrections) -0.315 Ry per atom, M_tot 0.00 μB per formula unit. Number 2: total DFT energy (no corrections) -0.494 Ry per atom, M_tot 0.00 μB per formula unit. Number 3: total DFT energy (no corrections) -0.232 Ry per atom, M_tot 0.00 μB per formula unit. Number 4: total DFT energy (no corrections) -0.322 Ry per atom, M_tot 0.00 μB per formula unit. Number 5: total DFT energy (no corrections) -0.391 Ry per atom, M_tot 0.00 μB per formula unit. Number 6: total DFT energy (no corrections) -0.220 Ry per atom, M_tot 0.00 μB per formula unit. Number 7: total DFT energy (no corrections) -0.511 Ry per atom, M_tot 0.00 μB per formula unit. Number 8: total DFT energy (no corrections) -0.205 Ry per atom, M_tot 0.00 μB per formula unit. Number 9: total DFT energy (no corrections) -0.145 Ry per atom, M_tot 0.00 μB per formula unit. Number 10: total DFT energy (no corrections) -0.431 Ry per atom, M_tot 0.49 μB per formula unit. Number 11: total DFT energy (no corrections) -0.385 Ry per atom, M_tot 0.00 μB per formula unit. Number 12: total DFT energy (no corrections) -0.358 Ry per atom, M_tot 0.00 μB per formula unit.